1.
NdDyScCu: optimized geometry, PBE.

abc: 7.381 7.381 7.381
angles: 90.00 90.00 90.00
Space group F-43m (No. 216)
Unique sites:
Nd 0.000 0.000 0.000 x4
Dy 0.000 0.000 0.500 x4
Sc 0.250 0.250 0.750 x4
Cu 0.250 0.250 0.250 x4

Output
Electronic total energy   -4.813 eV/atom

=====

2.
LiB2Ru: optimized geometry, PBE.

abc: 3.5815 3.5815 12.5828
angles: 90.00 90.00 120.00
Space group R-3m (No. 166, hexagonal axes)
Unique sites:
Li 0.0000 0.0000 0.0000 x3
B 0.0000 0.0000 0.1954 x6
Ru 0.0000 0.0000 0.5000 x3

Output
E above lowest polymorph   48 meV per atom

=====

3.
Ce6CoGe2: optimized geometry, PBE.

abc: 5.812 7.932 10.909
angles: 90.00 117.02 90.00
Space group P2_1/c (No. 14)
Unique sites:
Ce 0.041 0.170 0.456 x4
Ce 0.305 0.663 0.462 x4
Ce 0.358 0.012 0.251 x4
Co 0.500 0.000 0.500 x2
Ge 0.159 0.127 0.757 x4

Output
E above lowest polymorph   54 meV per atom

=====

4.
InAsIr3: optimized geometry, PBE.

abc: 4.594 4.594 4.594
angles: 90.00 90.00 90.00
Space group Pm-3m (No. 221)
Unique sites:
In 0.000 0.000 0.000 x1
As 0.500 0.500 0.500 x1
Ir 0.000 0.500 0.500 x3

Output
E above lowest polymorph   0 meV per atom